Record 1
4
Lattice="3.646 0.000 0.000 0.000 5.433 0.175 0.000 3.794 4.041" Properties=species:S:1:pos:R:3 comment="AgAs2Au | Alexandria | PBE | optimized geometry" dos_at_fermi_per_ev_cell=1.56 formation_enthalpy_0k_ev_per_atom=0.206 m_tot_mub_per_atom=0.000 space_group="P2/m, No. 10" e_tot_ev_per_cell=-14.61 pbc="T T T"
As 0.000 0.000 0.000
As 1.823 2.717 0.088
Au 1.823 4.614 2.108
Ag 0.000 1.897 2.020

Record 2
4
Lattice="-1.246 2.891 -1.477 -0.386 -1.703 -3.007 -5.611 -1.590 1.621" Properties=species:S:1:pos:R:3 comment="AgAsAu2 | Alexandria | PBE | optimized geometry" dos_at_fermi_per_ev_cell=0.79 formation_enthalpy_0k_ev_per_atom=0.111 m_tot_mub_per_atom=0.000 space_group="P4/mmm, No. 123" e_tot_ev_per_cell=-13.61 pbc="T T T"
As -5.024 -0.598 -1.026
Au -5.586 -1.583 1.614
Au -2.830 -0.802 0.818
Ag -2.219 0.197 -1.837

Record 3
4
Lattice="2.899 0.039 0.000 -0.034 2.899 0.000 0.000 0.000 8.718" Properties=species:S:1:pos:R:3 comment="AgAsAu2 | Alexandria | PBE | optimized geometry" dos_at_fermi_per_ev_cell=0.61 formation_enthalpy_0k_ev_per_atom=0.088 m_tot_mub_per_atom=0.000 space_group="P4/mmm, No. 123" e_tot_ev_per_cell=-13.70 pbc="T T T"
As 1.432 1.469 6.538
Au 0.000 0.000 0.047
Au 0.000 0.000 4.312
Ag 1.432 1.469 2.179

Record 4
4
Lattice="2.914 0.037 0.000 -0.034 2.914 0.000 0.000 0.000 8.645" Properties=species:S:1:pos:R:3 comment="AgAsAu2 | Alexandria | PBE | optimized geometry" dos_at_fermi_per_ev_cell=0.66 formation_enthalpy_0k_ev_per_atom=0.101 m_tot_mub_per_atom=0.000 space_group="P4mm, No. 99" e_tot_ev_per_cell=-13.65 pbc="T T T"
As 1.440 1.476 6.474
Au 0.000 0.000 0.023
Au 1.440 1.476 2.180
Ag 0.000 0.000 4.291

Record 5
4
Lattice="-3.101 -1.274 -2.419 -0.496 -3.326 2.388 -2.784 2.161 2.431" Properties=species:S:1:pos:R:3 comment="Ag2AsAu | Alexandria | PBE | optimized geometry" dos_at_fermi_per_ev_cell=0.93 formation_enthalpy_0k_ev_per_atom=0.091 m_tot_mub_per_atom=0.000 space_group="P4/mmm, No. 123" e_tot_ev_per_cell=-13.27 pbc="T T T"
As -2.942 0.444 0.006
Au -1.640 -0.582 2.410
Ag 0.000 0.000 0.000
Ag -1.799 -2.300 -0.015

Record 6
4
Lattice="4.722 0.000 0.000 2.361 4.090 0.000 2.361 1.363 3.856" Properties=species:S:1:pos:R:3 comment="AgAsAu2 | Alexandria | PBE | optimized geometry" dos_at_fermi_per_ev_cell=2.16 formation_enthalpy_0k_ev_per_atom=0.209 m_tot_mub_per_atom=0.000 space_group="F-43m, No. 216" e_tot_ev_per_cell=-13.22 pbc="T T T"
As 7.083 4.090 2.892
Au 0.000 0.000 0.000
Au 2.361 1.363 0.964
Ag 4.722 2.726 1.928

Record 7
4
Lattice="-0.351 4.705 0.747 0.079 1.724 4.454 3.792 2.463 1.541" Properties=species:S:1:pos:R:3 comment="AgAs2Au | Alexandria | PBE | optimized geometry" dos_at_fermi_per_ev_cell=1.19 formation_enthalpy_0k_ev_per_atom=0.299 m_tot_mub_per_atom=0.000 space_group="F-43m, No. 216" e_tot_ev_per_cell=-14.23 pbc="T T T"
As 0.000 0.000 0.000
As 2.641 6.669 5.056
Au 0.880 2.223 1.685
Ag 1.760 4.446 3.371

Record 8
6
Lattice="-0.107 -4.261 -3.664 -1.971 -5.020 1.584 -4.910 -1.854 -2.013" Properties=species:S:1:pos:R:3 comment="AgAs4Au | Alexandria | PBE | optimized geometry" dos_at_fermi_per_ev_cell=2.28 formation_enthalpy_0k_ev_per_atom=0.474 m_tot_mub_per_atom=0.000 space_group="F-43m, No. 216" e_tot_ev_per_cell=-21.88 pbc="T T T"
Ag 0.000 0.000 0.000
As -2.728 -6.258 -3.279
As -4.971 -5.134 -2.508
As -3.599 -6.612 -0.829
As -2.678 -4.268 -1.569
Au -5.241 -8.352 -3.069

Record 9
4
Lattice="3.020 0.000 0.000 0.000 4.093 0.000 0.000 0.000 5.918" Properties=species:S:1:pos:R:3 comment="Ag2AsAu | Alexandria | PBE | optimized geometry" dos_at_fermi_per_ev_cell=1.92 formation_enthalpy_0k_ev_per_atom=0.113 m_tot_mub_per_atom=0.000 space_group="Pmm2, No. 25" e_tot_ev_per_cell=-13.18 pbc="T T T"
As 0.000 0.000 2.956
Au 1.510 2.046 4.436
Ag 0.000 0.000 0.007
Ag 1.510 2.046 1.478

Record 10
4
Lattice="3.017 0.000 0.000 0.000 4.094 0.000 0.000 0.000 5.928" Properties=species:S:1:pos:R:3 comment="AgAsAu2 | Alexandria | PBE | optimized geometry" dos_at_fermi_per_ev_cell=1.49 formation_enthalpy_0k_ev_per_atom=0.123 m_tot_mub_per_atom=0.000 space_group="Pmm2, No. 25" e_tot_ev_per_cell=-13.56 pbc="T T T"
As 1.509 2.047 4.468
Au 0.000 0.000 5.894
Au 1.509 2.047 1.508
Ag 0.000 0.000 2.950

Record 11
6
Lattice="0.316 0.809 5.450 -3.823 -2.167 3.338 1.311 -4.192 3.341" Properties=species:S:1:pos:R:3 comment="AgAsAu4 | Alexandria | PBE | optimized geometry" dos_at_fermi_per_ev_cell=2.26 formation_enthalpy_0k_ev_per_atom=0.231 m_tot_mub_per_atom=0.000 space_group="F-43m, No. 216" e_tot_ev_per_cell=-19.22 pbc="T T T"
Ag -1.647 -4.163 9.096
As 0.000 0.000 0.000
Au -0.666 -1.678 7.272
Au -0.169 -4.176 6.218
Au -2.734 -3.165 6.217
Au -0.824 -2.082 4.549

Record 12
4
Lattice="-0.434 2.593 4.405 -2.639 -2.798 3.394 4.056 -1.109 -2.938" Properties=species:S:1:pos:R:3 comment="Ag2AsAu | Alexandria | PBE | optimized geometry" dos_at_fermi_per_ev_cell=1.07 formation_enthalpy_0k_ev_per_atom=0.103 m_tot_mub_per_atom=0.000 space_group="I-4m2, No. 119" e_tot_ev_per_cell=-13.22 pbc="T T T"
As -1.537 -0.103 3.899
Au 1.043 0.691 2.683
Ag 0.000 0.000 0.000
Ag -0.060 -2.005 2.177